1.
Material: HF3
Method: DFT, PBE
State: optimized geometry

It has space group R-3m (No. 166, hexagonal axes), with a = 2.4493 Å, b = 2.4493 Å, c = 23.1286 Å, α = 90.00°, β = 90.00° and γ = 120.00°. The inequivalent atoms are H at (0.0000, 0.0000, 0.0000), F at (0.0000, 0.0000, 0.0498) and F at (0.0000, 0.0000, 0.5000).

The distance to the lowest polymorph of the same formula comes out at 237 meV per atom. Its energy is -10.34 eV/f.u. As for the density of states at the Fermi level: 7.9 states/eV per cell.



2.
Material: H4F
Method: DFT, PBE
State: optimized geometry

It has space group Pm-3m (No. 221), with a = 3.090 Å, b = 3.090 Å, c = 3.090 Å, α = 90.00°, β = 90.00° and γ = 90.00°. The inequivalent atoms are H at (0.000, 0.000, 0.000), H at (0.000, 0.500, 0.500) and F at (0.500, 0.500, 0.500).

Its energy is -9.97 eV/f.u. As for the density of states at the Fermi level: 0.7 states/eV per cell.



3.
Material: HF3
Method: DFT, PBE
State: optimized geometry

It has space group P2_1/m (No. 11), with a = 3.468 Å, b = 3.376 Å, c = 8.778 Å, α = 90.00°, β = 99.19° and γ = 90.00°. The inequivalent atoms are H at (0.097, 0.250, 0.085), F at (0.054, 0.250, 0.634), F at (0.174, 0.750, 0.910) and F at (0.446, 0.750, 0.366).

The distance to the lowest polymorph of the same formula comes out at 0 meV per atom. Its energy is -11.29 eV/f.u. As for the density of states at the Fermi level: 6.9 states/eV per cell.



4.
Material: HF8
Method: DFT, PBE
State: optimized geometry

It has space group P-1 (No. 2), with a = 3.619 Å, b = 6.107 Å, c = 6.216 Å, α = 116.66°, β = 93.53° and γ = 103.97°. The inequivalent atoms are H at (0.000, 0.000, 0.000), F at (0.083, 0.203, 0.013), F at (0.091, 0.787, 0.472), F at (0.409, 0.771, 0.012) and F at (0.411, 0.690, 0.479).

Its energy is -20.12 eV/f.u. As for the density of states at the Fermi level: 2.9 states/eV per cell.



energy of number 4 (HF8)? -20.12 eV/f.u.



Which value of energy does entry 3 give? -11.29 eV/f.u.



Among the records above, which one has the lowest energy? HF8